Se3BrCl2 PBE relaxed; uncorrected formation energy = 0.01 eV per atom; symmetry = Cmc2_1; energy = -2.626 eV per atom; magnetization = 0.00 μB/cell; theoretical density = 3.041 g cm⁻³; crystal system = orthorhombic
1.0
-2.405 1.827 -4.450
-2.434 -9.079 -2.411
-5.630 5.764 5.408
Se Br Cl
6 2 4
Direct
0.845 0.505 0.505
0.845 0.143 0.868
0.845 0.868 0.143
0.345 0.132 0.857
0.345 0.495 0.495
0.345 0.857 0.132
0.344 0.239 0.239
0.844 0.761 0.761
0.845 0.403 0.070
0.345 0.597 0.930
0.845 0.070 0.403
0.345 0.930 0.597